Here is an optimized crystal structure of Li7Mn10Cr6O32 from Alexandria via LeMat-Bulk. Energies are from PBE+U.

Summary:
SG	P1
uncorrected energy	-7.0501	eV per atom
spin magnetization	18.15	μB per formula unit

Geometry as extended XYZ:
```
55
Lattice="5.903 -0.002 0.003 2.935 5.128 -0.007 2.926 1.537 19.229" Properties=species:S:1:pos:R:3 pbc="T T T"
Mn 5.837 1.541 19.197
Mn 5.888 5.025 14.430
Mn 2.987 3.311 9.627
Mn 7.335 5.857 16.827
Mn 4.427 4.171 12.033
Mn 7.367 2.477 7.216
Mn 1.429 0.836 2.380
Mn 4.405 0.828 2.372
Mn 4.424 2.480 7.216
Mn 10.283 5.848 16.835
O 5.874 1.671 8.231
O 10.461 5.751 13.191
O 1.309 0.919 6.082
O 7.191 5.766 13.222
O 8.728 5.182 17.966
O 4.314 2.595 10.887
O 2.917 1.513 1.255
O 8.902 3.340 13.043
O 4.563 4.288 15.659
O 7.154 2.246 17.993
O 4.285 4.064 8.374
O 2.964 3.298 6.209
O 4.531 0.893 6.119
O 5.889 5.036 17.826
O 8.801 5.228 3.447
O 5.870 1.606 1.399
O 7.208 2.406 3.491
O 8.906 4.840 10.867
O 5.789 3.209 6.070
O 3.050 1.791 8.426
O 7.196 4.271 15.656
O 7.558 4.037 8.418
O 7.175 4.396 1.202
O 2.983 1.418 15.662
O 5.848 1.528 15.815
O 5.855 4.993 11.021
O 7.579 2.557 10.830
O 4.527 4.404 1.215
O 4.507 2.393 3.479
O 5.856 3.498 13.201
O 5.854 5.152 3.377
O 4.545 2.267 17.970
Li 5.861 1.566 13.860
Li 8.862 3.343 15.018
Li 5.919 4.989 9.055
Li 2.914 3.490 0.555
Li 2.919 3.305 4.175
Li 5.949 1.641 10.198
Li 5.840 5.117 5.410
Cr 2.965 1.605 12.032
Cr 5.871 3.277 16.834
Cr 8.839 5.049 7.222
Cr 5.857 3.384 2.356
Cr 5.854 1.655 4.794
Cr 7.380 4.163 12.027
```